Record 1
Compound: ZnPbW2Se
Source: the Alexandria database
Functional: PBE
Structure: relaxed

Unit cell a=5.3394 b=5.4817 c=5.3394 alpha=90.00 beta=90.00 gamma=90.00
Site moments in Bohr magnetons follow the coordinates.
Positions (direct):
W: 0.0000 0.0000 0.5000  2.72
W: 0.5000 0.0000 0.0000  2.39
Se: 0.0000 0.5000 0.0000  0.04
Pb: 0.0000 0.0000 0.0000  -0.03
Zn: 0.5000 0.5000 0.5000  -0.06

Summary:
**Space group**: P4/mmm

---

Record 2
Compound: Y2PbSe
Source: the Alexandria database
Functional: PBE
Structure: relaxed

Unit cell a=6.3144 b=6.3144 c=4.6705 alpha=90.02 beta=90.02 gamma=36.50
Positions (direct):
Pb: 0.4853 0.4853 0.6249
Se: 0.2481 0.2481 0.1250
Y: 0.7524 0.7524 0.6251
Y: 0.0142 0.0142 0.1250

Summary:
**Space group**: Amm2
**E above lowest polymorph**: 164.7 meV/atom

---

Record 3
Compound: YPbSe
Source: the Alexandria database
Functional: PBE
Structure: relaxed

Unit cell a=6.4966 b=6.4967 c=3.7826 alpha=73.07 beta=73.08 gamma=33.85
Positions (direct):
Pb: 0.0110 0.0110 0.9890
Y: 0.7038 0.7038 0.2962
Se: 0.2852 0.2852 0.7148

Summary:
**Space group**: I4mm
**E above lowest polymorph**: 13.1 meV/atom

---

| no. | formation energy from raw total energies (eV/atom) |
| --- | --- |
| 1 | 2.628 |
| 2 | -0.995 |
| 3 | -0.951 |